No. 1
VASP calculation (PBE) on Sm2HI after structural relaxation.

Summary:
**Space group**: R-3m, No. 166

a = 3.812 Å, b = 3.812 Å, c = 8.018 Å
α = 76.25°, β = 76.25°, γ = 60.00°
Sites, in units of the cell vectors:
I 0.500 0.500 0.500
H 0.000 0.000 0.000
Sm 0.725 0.725 0.824
Sm 0.275 0.275 0.176

=====

No. 2
VASP calculation (PBE) on Pr2MgNi9 after structural relaxation.

Summary:
**Space group**: R-3m, No. 166

a = 4.972 Å, b = 4.972 Å, c = 8.727 Å
α = 73.45°, β = 73.45°, γ = 60.00°
Site moments in Bohr magnetons follow the coordinates.
Sites, in units of the cell vectors:
Pr 0.865 0.865 0.406  -0.05
Pr 0.135 0.135 0.594  -0.05
Mg 0.000 0.000 0.000  0.00
Ni 0.667 0.667 0.998  0.43
Ni 0.333 0.333 0.002  0.43
Ni 0.500 0.500 0.500  0.07
Ni 0.422 0.422 0.236  0.24
Ni 0.920 0.422 0.236  0.24
Ni 0.422 0.920 0.236  0.24
Ni 0.578 0.578 0.764  0.24
Ni 0.578 0.080 0.764  0.24
Ni 0.080 0.578 0.764  0.24

=====

No. 3
VASP calculation (PBE) on RbNb2OsRu after structural relaxation.

Summary:
**Space group**: P4/mmm, No. 123

a = 4.826 Å, b = 4.826 Å, c = 5.142 Å
α = 90.00°, β = 90.00°, γ = 90.00°
Site moments in Bohr magnetons follow the coordinates.
Sites, in units of the cell vectors:
Ru 0.000 0.000 0.000  0.05
Nb 0.000 0.500 0.000  -0.51
Nb 0.500 0.000 0.000  -0.51
Os 0.500 0.500 0.500  1.53
Rb 0.000 0.000 0.500  -0.02

=====

No. 4
VASP calculation (PBE) on PmMg2Cu2 after structural relaxation.

Summary:
**Space group**: C2/m, No. 12

a = 4.117 Å, b = 5.235 Å, c = 5.444 Å
α = 101.98°, β = 112.21°, γ = 90.00°
Sites, in units of the cell vectors:
Pm 0.000 0.000 0.000
Mg 0.348 0.421 0.695
Mg 0.652 0.579 0.305
Cu 0.720 0.113 0.441
Cu 0.280 0.887 0.559

=====

No. 5
VASP calculation (PBE) on MgNi5 after structural relaxation.

Summary:
**Space group**: C2, No. 5

a = 4.421 Å, b = 4.420 Å, c = 4.871 Å
α = 62.90°, β = 62.90°, γ = 60.00°
Site moments in Bohr magnetons follow the coordinates.
Sites, in units of the cell vectors:
Ni 0.677 0.656 0.000  0.38
Ni 0.000 0.010 0.000  0.38
Ni 0.829 0.163 0.511  0.31
Ni 0.170 0.504 0.489  0.31
Ni 0.324 0.333 0.000  0.38
Mg 0.500 0.833 0.500  -0.01

=====

No. 6
VASP calculation (PBE) on Al2CuW after structural relaxation.

Summary:
**Space group**: Pmm2, No. 25

a = 4.520 Å, b = 2.813 Å, c = 4.625 Å
α = 90.00°, β = 90.00°, γ = 90.00°
Sites, in units of the cell vectors:
Cu 0.000 0.625 0.425
W 0.500 0.625 0.829
Al 0.000 0.125 0.914
Al 0.500 0.125 0.332

=====

Electronic total energy values, unit eV/atom, following the record order: -4.174, -5.458, -6.166, -3.381, -5.099, -6.174.